[1]
Compound: Sr2CuPd
Source: Alexandria
Functional: PBE
Structure: relaxed

Output
Energy of formation = -1.09 eV per formula unit
ρ = 5.4 g/cm3
Symmetry = P4/mmm, No. 123
Crystal system = tetragonal

abc: 3.8072 5.2864 5.2864
angles: 90.00 90.00 90.00
Closest atoms and distances in Å follow each position.
Positions (direct):
Sr: 0.0000 0.0000 0.5000  4 Cu 3.26, 4 Pd 3.26
Sr: 0.0000 0.5000 0.0000  4 Cu 3.26, 4 Pd 3.26
Cu: 0.5000 0.0000 0.0000  8 Sr 3.26
Pd: 0.5000 0.5000 0.5000  8 Sr 3.26

[2]
Compound: Sr2Cu3Pd
Source: Alexandria
Functional: PBE
Structure: relaxed

Output
Energy of formation = -1.39 eV per formula unit
ρ = 5.7 g/cm3
Symmetry = Fmmm, No. 69
Crystal system = orthorhombic

abc: 6.0377 6.0377 8.6258
angles: 109.83 109.83 91.76
Closest atoms and distances in Å follow each position.
Positions (direct):
Cu: 0.1630 0.6738 0.8368  2 Cu 2.45-2.46, 1 Pd 2.56
Cu: 0.1635 0.1635 0.3269  2 Cu 2.45, 1 Pd 2.56
Cu: 0.8365 0.8365 0.6731  2 Cu 2.45, 1 Pd 2.56
Cu: 0.3262 0.8370 0.1632  2 Cu 2.45-2.46, 1 Pd 2.56
Cu: 0.8370 0.3262 0.1632  2 Cu 2.45-2.46, 1 Pd 2.56
Cu: 0.6738 0.1630 0.8368  2 Cu 2.45-2.46, 1 Pd 2.56
Sr: 0.7468 0.7468 0.0000  10 Cu 3.25-3.27, 2 Pd 3.25
Sr: 0.7500 0.2500 0.5000  4 Pd 3.27, 8 Cu 3.29
Sr: 0.2532 0.2532 0.0000  10 Cu 3.25-3.27, 2 Pd 3.25
Sr: 0.2500 0.7500 0.5000  4 Pd 3.27, 8 Cu 3.29
Pd: 0.6664 0.6664 0.3327  3 Cu 2.56
Pd: 0.3336 0.3336 0.6673  3 Cu 2.56

[3]
Compound: SrCuPd2
Source: Alexandria
Functional: PBE
Structure: relaxed

Output
Energy of formation = -0.69 eV per formula unit
ρ = 7.9 g/cm3
Symmetry = Fm-3m, No. 225
Crystal system = cubic

abc: 4.7700 4.7700 4.7700
angles: 60.00 60.00 60.00
Closest atoms and distances in Å follow each position.
Positions (direct):
Sr: 0.5000 0.5000 0.5000  8 Pd 2.92
Cu: 0.0000 0.0000 0.0000  8 Pd 2.92
Pd: 0.7500 0.7500 0.7500  4 Cu 2.92, 4 Sr 2.92
Pd: 0.2500 0.2500 0.2500  4 Cu 2.92, 4 Sr 2.92

[4]
Compound: SrCuPd
Source: Alexandria
Functional: PBE
Structure: relaxed

Output
Energy of formation = -1.10 eV per formula unit
ρ = 6.1 g/cm3
Symmetry = P-6m2, No. 187
Crystal system = hexagonal

abc: 4.2622 4.3592 4.3592
angles: 120.00 90.00 90.00
Closest atoms and distances in Å follow each position.
Positions (direct):
Pd: 0.1666 0.3333 0.6667  3 Cu 2.52
Cu: 0.1668 0.0000 0.0000  3 Pd 2.52
Sr: 0.6666 0.6667 0.3333  6 Cu 3.30, 6 Pd 3.30

[5]
Compound: Sr2Cu15Pd2
Source: Alexandria
Functional: PBE
Structure: relaxed

Output
Energy of formation = -1.76 eV per formula unit
ρ = 7.9 g/cm3
Symmetry = R-3m, No. 166
Crystal system = trigonal

abc: 6.6014 6.6014 6.6014
angles: 83.68 83.68 83.68
Closest atoms and distances in Å follow each position.
Positions (direct):
Cu: 0.0000 0.7103 0.2897  8 Cu 2.48-2.70
Cu: 0.2897 0.7103 0.0000  8 Cu 2.48-2.70
Cu: 0.0000 0.5000 0.0000  8 Cu 2.48-2.53, 2 Pd 2.66
Cu: 0.5000 0.0000 0.0000  8 Cu 2.48-2.53, 2 Pd 2.66
Cu: 0.3434 0.3434 0.8483  8 Cu 2.53-2.70, 1 Pd 2.69
Cu: 0.3434 0.8483 0.3434  8 Cu 2.53-2.70, 1 Pd 2.69
Cu: 0.6566 0.6566 0.1517  8 Cu 2.53-2.70, 1 Pd 2.69
Cu: 0.1517 0.6566 0.6566  8 Cu 2.53-2.70, 1 Pd 2.69
Cu: 0.0000 0.2897 0.7103  8 Cu 2.48-2.70
Cu: 0.0000 0.0000 0.5000  8 Cu 2.48-2.53, 2 Pd 2.66
Cu: 0.6566 0.1517 0.6566  8 Cu 2.53-2.70, 1 Pd 2.69
Cu: 0.7103 0.0000 0.2897  8 Cu 2.48-2.70
Cu: 0.7103 0.2897 0.0000  8 Cu 2.48-2.70
Cu: 0.8483 0.3434 0.3434  8 Cu 2.53-2.70, 1 Pd 2.69
Cu: 0.2897 0.0000 0.7103  8 Cu 2.48-2.70
Sr: 0.3427 0.3427 0.3427  1 Pd 3.01, 15 Cu 3.15-3.34
Sr: 0.6573 0.6573 0.6573  1 Pd 3.01, 15 Cu 3.15-3.34
Pd: 0.8958 0.8958 0.8958  1 Pd 2.63, 12 Cu 2.66-2.87
Pd: 0.1042 0.1042 0.1042  1 Pd 2.63, 12 Cu 2.66-2.87

[6]
Compound: Sr8Cu2Pd
Source: Alexandria
Functional: PBE
Structure: relaxed

Output
Energy of formation = -1.27 eV per formula unit
ρ = 3.2 g/cm3
Symmetry = C2/m, No. 12
Crystal system = monoclinic

abc: 8.1304 8.2215 8.2254
angles: 89.73 119.62 90.00
Closest atoms and distances in Å follow each position.
Positions (direct):
Sr: 0.2875 0.6050 0.5750  1 Cu 3.17
Sr: 0.7119 0.2565 0.9204  1 Pd 2.97, 2 Cu 3.15-3.17
Sr: 0.7981 0.8833 0.5961  1 Pd 3.05, 1 Cu 3.25
Sr: 0.7915 0.7435 0.0796  1 Pd 2.97, 2 Cu 3.15-3.17
Sr: 0.2019 0.1167 0.4039  1 Pd 3.05, 1 Cu 3.25
Sr: 0.2881 0.7435 0.0796  1 Pd 2.97, 2 Cu 3.15-3.17
Sr: 0.7125 0.3950 0.4250  1 Cu 3.17
Sr: 0.2085 0.2565 0.9204  1 Pd 2.97, 2 Cu 3.15-3.17
Cu: 0.9161 0.5442 0.8323  1 Cu 2.50
Cu: 0.0839 0.4558 0.1677  1 Cu 2.50
Pd: 0.0000 0.0000 0.0000  6 Sr 2.97-3.05

> ρ of number 2 (Sr2Cu3Pd)?

5.7 g/cm3

> Look up the energy of formation of the third one.

-0.69 eV per formula unit

> Among the records above, which one has the lowest energy of formation?

Sr2Cu15Pd2